A relaxed structure of Ba4GaHg. Source: the Alexandria database, functional PBE.

Lattice parameters (Å, degrees): 4.205 4.205 15.328 90.00 90.00 90.00
Positions (direct):
Ba 0.000 0.000 0.125
Ba 0.000 0.000 0.875
Ba 0.500 0.500 0.369
Ba 0.500 0.500 0.631
Ga 0.500 0.500 0.000
Hg 0.000 0.000 0.500

As for the formation energy: -320 meV per atom. The density of states at the Fermi level comes out at 5.2 states/eV/cell.